HfBiTe2N: relaxed, GGA-PBE.

## Properties
E_form (uncorrected) = 1.13 eV/atom
SG = No. 123
E above lowest polymorph = 6.12 eV per formula unit
Fermi-level density of states = 3.70 states/eV/f.u.
Raw total energy = -4.5575 eV/atom

POSCAR file:
```
HfBiTe2N
1.0
5.8424 0.0000 0.0000
0.0000 5.8424 0.0000
0.0000 0.0000 4.1352
Hf Bi Te N
1 1 2 1
Direct
0.0000 0.0000 0.0000
0.5000 0.5000 0.5000
0.0000 0.5000 0.5000
0.5000 0.0000 0.5000
0.5000 0.5000 0.0000
```

Mn4NbIr: relaxed, GGA-PBE.

## Properties
SG = No. 216
Fermi-level density of states = 3.48 states/eV/f.u.
Raw total energy = -9.4282 eV/atom

POSCAR file:
```
Mn4NbIr
1.0
0.0000 3.3491 3.3491
3.3491 0.0000 3.3491
3.3491 3.3491 0.0000
Mn Nb Ir
4 1 1
Direct
0.3771 0.3771 0.3771
0.3771 0.3771 0.8687
0.3771 0.8687 0.3771
0.8687 0.3771 0.3771
0.0000 0.0000 0.0000
0.7500 0.7500 0.7500
```

NaSrHg4: relaxed, GGA-PBE.

## Properties
SG = No. 71
E above lowest polymorph = 0.00 eV per formula unit
Fermi-level density of states = 2.37 states/eV/f.u.
Raw total energy = -1.0511 eV/atom

POSCAR file:
```
NaSrHg4
1.0
-2.5939 3.5506 4.4940
2.5939 -3.5506 4.4940
2.5939 3.5506 -4.4940
Na Sr Hg
1 1 4
Direct
0.0000 0.0000 0.0000
0.5000 0.0000 0.5000
0.0842 0.3340 0.7503
0.4163 0.6660 0.7503
0.5837 0.3340 0.2497
0.9158 0.6660 0.2497
```

Ba2Ga6PdRu: relaxed, GGA-PBE.

## Properties
SG = No. 2
Fermi-level density of states = 4.40 states/eV/f.u.
Raw total energy = -4.1186 eV/atom

POSCAR file:
```
Ba2Ga6PdRu
1.0
6.6890 0.0000 0.0000
3.3420 5.7981 0.0000
3.3405 1.9306 5.9369
Ba Ga Pd Ru
2 6 1 1
Direct
0.2116 0.2112 0.3629
0.7884 0.7888 0.6371
0.2488 0.2509 0.8334
0.2502 0.6670 0.8335
0.3331 0.7493 0.1663
0.6669 0.2507 0.8337
0.7498 0.3330 0.1665
0.7512 0.7491 0.1666
0.5000 0.5000 0.5000
0.0000 0.0000 0.0000
```

> What is the formula in the fourth record?

Ba2Ga6PdRu